[1]
## Y3Ho6Mg (PBE-GGA)

Data for an optimized crystal structure of Y3Ho6Mg.

abc: 8.727 8.727 9.011
angles: 90.00 90.00 115.21
Sites, in units of the cell vectors:
Y 0.035 0.965 0.500
Y 0.178 0.468 0.009
Y 0.468 0.178 0.509
Y 0.532 0.822 0.009
Y 0.822 0.532 0.509
Y 0.965 0.035 0.000
Ho 0.025 0.327 0.341
Ho 0.202 0.798 0.226
Ho 0.217 0.354 0.673
Ho 0.327 0.025 0.841
Ho 0.354 0.217 0.173
Ho 0.435 0.565 0.357
Ho 0.565 0.435 0.857
Ho 0.646 0.783 0.673
Ho 0.673 0.975 0.341
Ho 0.783 0.646 0.173
Ho 0.798 0.202 0.726
Ho 0.975 0.673 0.841
Mg 0.261 0.739 0.580
Mg 0.739 0.261 0.080

Properties
* magnetization: 0.0000 μB per atom
* energy of formation: 1.3 eV/f.u.
* E above lowest polymorph: 106 meV/atom

[2]
## YHo6Mg (PBE-GGA)

Data for an optimized crystal structure of YHo6Mg.

abc: 6.308 6.308 6.308
angles: 95.49 95.49 95.49
Sites, in units of the cell vectors:
Y 0.000 0.000 0.000
Ho 0.025 0.547 0.257
Ho 0.257 0.025 0.547
Ho 0.453 0.743 0.975
Ho 0.547 0.257 0.025
Ho 0.743 0.975 0.453
Ho 0.975 0.453 0.743
Mg 0.500 0.500 0.500

Properties
* magnetization: 0.0000 μB per atom
* energy of formation: 1.1 eV/f.u.
* E above lowest polymorph: 101 meV/atom

[3]
## YHoMg (PBE-GGA)

Data for an optimized crystal structure of YHoMg.

abc: 3.385 3.385 31.005
angles: 90.00 90.00 90.00
Sites, in units of the cell vectors:
Y 0.000 0.000 0.056
Y 0.000 0.000 0.944
Y 0.500 0.500 0.444
Y 0.500 0.500 0.556
Ho 0.000 0.000 0.209
Ho 0.000 0.000 0.791
Ho 0.500 0.500 0.291
Ho 0.500 0.500 0.709
Mg 0.000 0.000 0.369
Mg 0.000 0.000 0.631
Mg 0.500 0.500 0.131
Mg 0.500 0.500 0.869

Properties
* magnetization: 0.0002 μB per atom
* energy of formation: 0.3 eV/f.u.
* E above lowest polymorph: 139 meV/atom

[4]
## Y12Ho7Mg (PBE-GGA)

Data for an optimized crystal structure of Y12Ho7Mg.

abc: 10.357 10.357 10.357
angles: 109.47 109.47 109.47
Sites, in units of the cell vectors:
Y 0.094 0.741 0.352
Y 0.259 0.352 0.611
Y 0.259 0.648 0.906
Y 0.352 0.094 0.741
Y 0.352 0.611 0.259
Y 0.389 0.741 0.648
Y 0.611 0.259 0.352
Y 0.648 0.389 0.741
Y 0.648 0.906 0.259
Y 0.741 0.352 0.094
Y 0.741 0.648 0.389
Y 0.906 0.259 0.648
Ho 0.000 0.000 0.500
Ho 0.000 0.500 0.000
Ho 0.000 0.500 0.500
Ho 0.500 0.000 0.000
Ho 0.500 0.000 0.500
Ho 0.500 0.500 0.000
Ho 0.500 0.500 0.500
Mg 0.000 0.000 0.000

Properties
* magnetization: 0.0000 μB per atom
* energy of formation: 16.8 eV/f.u.
* E above lowest polymorph: 686 meV/atom

[5]
## YHo6Mg (PBE-GGA)

Data for an optimized crystal structure of YHo6Mg.

abc: 11.634 5.304 8.545
angles: 90.00 112.72 90.00
Sites, in units of the cell vectors:
Y 0.000 0.000 0.000
Y 0.500 0.500 0.000
Ho 0.009 0.500 0.726
Ho 0.225 0.000 0.383
Ho 0.249 0.500 0.144
Ho 0.251 0.000 0.856
Ho 0.275 0.500 0.617
Ho 0.491 0.000 0.274
Ho 0.509 0.000 0.726
Ho 0.725 0.500 0.383
Ho 0.749 0.000 0.144
Ho 0.751 0.500 0.856
Ho 0.775 0.000 0.617
Ho 0.991 0.500 0.274
Mg 0.000 0.000 0.500
Mg 0.500 0.500 0.500

Properties
* magnetization: 0.0000 μB per atom
* energy of formation: 0.3 eV/f.u.
* E above lowest polymorph: 0 meV/atom

[6]
## Y5Ho4Mg (PBE-GGA)

Data for an optimized crystal structure of Y5Ho4Mg.

abc: 3.560 3.560 24.398
angles: 90.00 90.00 90.00
Sites, in units of the cell vectors:
Y 0.000 0.000 0.000
Y 0.000 0.000 0.205
Y 0.000 0.000 0.409
Y 0.000 0.000 0.591
Y 0.000 0.000 0.795
Ho 0.500 0.500 0.103
Ho 0.500 0.500 0.308
Ho 0.500 0.500 0.692
Ho 0.500 0.500 0.897
Mg 0.500 0.500 0.500

Properties
* magnetization: 0.0003 μB per atom
* energy of formation: 0.0 eV/f.u.

[7]
## YHo4Mg (PBE-GGA)

Data for an optimized crystal structure of YHo4Mg.

abc: 6.070 6.070 11.793
angles: 105.12 105.12 60.09
Sites, in units of the cell vectors:
Y 0.000 0.500 0.000
Y 0.500 0.000 0.500
Ho 0.165 0.671 0.500
Ho 0.250 0.418 0.750
Ho 0.329 0.835 0.000
Ho 0.418 0.250 0.250
Ho 0.582 0.750 0.750
Ho 0.671 0.165 0.000
Ho 0.750 0.582 0.250
Ho 0.835 0.329 0.500
Mg 0.083 0.917 0.250
Mg 0.917 0.083 0.750

Properties
* magnetization: 0.0000 μB per atom
* energy of formation: 0.2 eV/f.u.
* E above lowest polymorph: 37 meV/atom

[8]
## YHoMg14 (PBE-GGA)

Data for an optimized crystal structure of YHoMg14.

abc: 6.913 6.913 8.002
angles: 90.00 90.00 90.00
Sites, in units of the cell vectors:
Y 0.000 0.000 0.000
Ho 0.500 0.500 0.000
Mg 0.000 0.000 0.500
Mg 0.000 0.500 0.000
Mg 0.000 0.500 0.500
Mg 0.251 0.251 0.261
Mg 0.251 0.251 0.739
Mg 0.251 0.749 0.261
Mg 0.251 0.749 0.739
Mg 0.500 0.000 0.000
Mg 0.500 0.000 0.500
Mg 0.500 0.500 0.500
Mg 0.749 0.251 0.261
Mg 0.749 0.251 0.739
Mg 0.749 0.749 0.261
Mg 0.749 0.749 0.739

Properties
* magnetization: 0.0000 μB per atom
* energy of formation: -0.5 eV/f.u.

[9]
## YHoMg (PBE-GGA)

Data for an optimized crystal structure of YHoMg.

abc: 5.435 5.435 3.392
angles: 90.00 90.00 120.00
Sites, in units of the cell vectors:
Y 0.000 0.000 0.000
Ho 0.333 0.667 0.573
Mg 0.667 0.333 0.298

Properties
* magnetization: 0.0000 μB per atom
* energy of formation: 0.1 eV/f.u.
* E above lowest polymorph: 89 meV/atom

[10]
## Y12Ho6Mg (PBE-GGA)

Data for an optimized crystal structure of Y12Ho6Mg.

abc: 8.497 8.497 8.497
angles: 88.52 88.52 88.52
Sites, in units of the cell vectors:
Y 0.038 0.935 0.282
Y 0.065 0.718 0.962
Y 0.135 0.486 0.320
Y 0.282 0.038 0.935
Y 0.320 0.135 0.486
Y 0.486 0.320 0.135
Y 0.514 0.680 0.865
Y 0.680 0.865 0.514
Y 0.718 0.962 0.065
Y 0.865 0.514 0.680
Y 0.935 0.282 0.038
Y 0.962 0.065 0.718
Ho 0.210 0.761 0.597
Ho 0.239 0.403 0.790
Ho 0.403 0.790 0.239
Ho 0.597 0.210 0.761
Ho 0.761 0.597 0.210
Ho 0.790 0.239 0.403
Mg 0.500 0.500 0.500

Properties
* magnetization: 0.0000 μB per atom
* energy of formation: 2.5 eV/f.u.
* E above lowest polymorph: 0 meV/atom

[11]
## Y4HoMg3 (PBE-GGA)

Data for an optimized crystal structure of Y4HoMg3.

abc: 3.828 5.439 11.011
angles: 90.00 90.00 90.00
Sites, in units of the cell vectors:
Y 0.000 0.000 0.000
Y 0.000 0.000 0.500
Y 0.000 0.500 0.238
Y 0.000 0.500 0.762
Ho 0.500 0.500 0.500
Mg 0.500 0.000 0.249
Mg 0.500 0.000 0.751
Mg 0.500 0.500 0.000

Properties
* magnetization: 0.0002 μB per atom
* energy of formation: -0.2 eV/f.u.

[12]
## YHo4Mg7 (PBE-GGA)

Data for an optimized crystal structure of YHo4Mg7.

abc: 6.405 6.405 11.541
angles: 113.28 113.28 52.13
Sites, in units of the cell vectors:
Y 0.000 0.000 0.000
Ho 0.166 0.166 0.779
Ho 0.430 0.430 0.678
Ho 0.570 0.570 0.322
Ho 0.834 0.834 0.221
Mg 0.124 0.124 0.492
Mg 0.257 0.257 0.323
Mg 0.298 0.298 0.077
Mg 0.500 0.500 0.000
Mg 0.702 0.702 0.923
Mg 0.743 0.743 0.677
Mg 0.876 0.876 0.508

Properties
* magnetization: 0.0000 μB per atom
* energy of formation: 1.8 eV/f.u.
* E above lowest polymorph: 175 meV/atom